No. 1
Density functional theory data (PBE) for crystalline CeEr3Al8 at its relaxed geometry.

a = 10.316 Å, b = 10.316 Å, c = 10.316 Å
α = 31.23°, β = 31.23°, γ = 31.23°
Element x y z (fractional)
Ce (0.000, 0.000, 0.000)
Er (0.331, 0.331, 0.331)
Er (0.521, 0.521, 0.521)
Er (0.809, 0.809, 0.809)
Al (0.070, 0.070, 0.579)
Al (0.070, 0.579, 0.070)
Al (0.167, 0.167, 0.167)
Al (0.262, 0.262, 0.753)
Al (0.262, 0.753, 0.262)
Al (0.579, 0.070, 0.070)
Al (0.658, 0.658, 0.658)
Al (0.753, 0.262, 0.262)

E_form, eV per atom: -0.229
Symmetry: R3m, No. 160
Total energy, eV per atom: -4.359
Offset from the most stable computed form, meV/atom: 246.9

---

No. 2
Density functional theory data (PBE) for crystalline Ca2PuF at its relaxed geometry.

a = 10.182 Å, b = 10.182 Å, c = 10.182 Å
α = 19.90°, β = 19.90°, γ = 19.90°
Element x y z (fractional)
Ca (0.111, 0.111, 0.111)
Ca (0.889, 0.889, 0.889)
Pu (0.000, 0.000, 0.000)
F (0.500, 0.500, 0.500)

Symmetry: R-3m, No. 166
Total energy, eV per atom: -5.981
Formation energy from raw total energies, eV/atom: -0.930

---

No. 3
Density functional theory data (PBE) for crystalline Ca3GeAu at its relaxed geometry.

a = 5.613 Å, b = 5.613 Å, c = 5.613 Å
α = 90.00°, β = 90.00°, γ = 90.00°
Element x y z (fractional)
Ca (0.000, 0.000, 0.500)
Ca (0.000, 0.500, 0.000)
Ca (0.500, 0.000, 0.000)
Ge (0.000, 0.000, 0.000)
Au (0.500, 0.500, 0.500)

E_form, eV per atom: -0.250
Symmetry: Pm-3m, No. 221
Total energy, eV per atom: -3.030
Offset from the most stable computed form, meV/atom: 0.0

---

No. 4
Density functional theory data (PBE) for crystalline KScAs2Se at its relaxed geometry.

a = 5.222 Å, b = 5.222 Å, c = 5.383 Å
α = 90.00°, β = 90.00°, γ = 90.00°
Element x y z (fractional)
K (0.000, 0.000, 0.000)
Sc (0.500, 0.500, 0.500)
As (0.000, 0.500, 0.000)
As (0.500, 0.000, 0.000)
Se (0.000, 0.000, 0.500)

Symmetry: P4/mmm, No. 123
Total energy, eV per atom: -3.065
Offset from the most stable computed form, meV/atom: 1438.2
Formation energy from raw total energies, eV/atom: 0.978

---

No. 5
Density functional theory data (PBE) for crystalline IrBrCl2 at its relaxed geometry.

a = 3.006 Å, b = 4.243 Å, c = 8.367 Å
α = 90.00°, β = 90.00°, γ = 90.00°
Element x y z (fractional)
Ir (0.000, 0.000, 0.000)
Br (0.500, 0.000, 0.500)
Cl (0.000, 0.500, 0.500)
Cl (0.500, 0.500, 0.000)

Symmetry: Pmmm, No. 47
Total energy, eV per atom: -2.610
Offset from the most stable computed form, meV/atom: 1353.8
Formation energy from raw total energies, eV/atom: 0.947

---

No. 6
Density functional theory data (PBE) for crystalline SiRuBr2 at its relaxed geometry.

a = 3.181 Å, b = 4.389 Å, c = 5.828 Å
α = 90.00°, β = 90.00°, γ = 90.00°
Element x y z (fractional)
Si (0.000, 0.000, 0.000)
Ru (0.500, 0.000, 0.500)
Br (0.000, 0.500, 0.500)
Br (0.500, 0.500, 0.000)

Symmetry: Pmmm, No. 47
Total energy, eV per atom: -3.693
Offset from the most stable computed form, meV/atom: 904.0
Formation energy from raw total energies, eV/atom: 0.818

---

No. 7
Density functional theory data (PBE) for crystalline NiAg3 at its relaxed geometry.

a = 8.411 Å, b = 8.411 Å, c = 8.411 Å
α = 152.19°, β = 152.19°, γ = 39.73°
Element x y z (fractional)
Ni (0.125, 0.125, 0.000)
Ni (0.875, 0.875, 0.000)
Ag (0.000, 0.500, 0.500)
Ag (0.250, 0.750, 0.500)
Ag (0.375, 0.375, 0.000)
Ag (0.500, 0.000, 0.500)
Ag (0.625, 0.625, 0.000)
Ag (0.750, 0.250, 0.500)

E_form, eV per atom: 0.202
Symmetry: I4/mmm, No. 139
Total energy, eV per atom: -3.381

---

No. 8
Density functional theory data (PBE) for crystalline Nd6Sn3Hg at its relaxed geometry.

a = 6.296 Å, b = 9.012 Å, c = 13.027 Å
α = 90.00°, β = 117.70°, γ = 90.00°
Element x y z (fractional)
Nd (0.035, 0.174, 0.432)
Nd (0.035, 0.326, 0.932)
Nd (0.322, 0.673, 0.426)
Nd (0.322, 0.827, 0.926)
Nd (0.385, 0.052, 0.248)
Nd (0.385, 0.448, 0.748)
Nd (0.615, 0.552, 0.252)
Nd (0.615, 0.948, 0.752)
Nd (0.678, 0.173, 0.074)
Nd (0.678, 0.327, 0.574)
Nd (0.965, 0.674, 0.068)
Nd (0.965, 0.826, 0.568)
Sn (0.150, 0.117, 0.751)
Sn (0.150, 0.383, 0.251)
Sn (0.500, 0.000, 0.500)
Sn (0.500, 0.500, 0.000)
Sn (0.850, 0.617, 0.749)
Sn (0.850, 0.883, 0.249)
Hg (0.000, 0.000, 0.000)
Hg (0.000, 0.500, 0.500)

E_form, eV per atom: -0.463
Symmetry: P2_1/c, No. 14
Total energy, eV per atom: -4.555

---

No. 9
Density functional theory data (PBE) for crystalline V6Cr2Ga at its relaxed geometry.

a = 6.546 Å, b = 6.546 Å, c = 4.865 Å
α = 110.21°, β = 110.21°, γ = 37.46°
Element x y z (fractional)
V (0.057, 0.057, 0.258)
V (0.165, 0.165, 0.836)
V (0.277, 0.277, 0.397)
V (0.723, 0.723, 0.603)
V (0.835, 0.835, 0.164)
V (0.943, 0.943, 0.742)
Cr (0.386, 0.386, 0.933)
Cr (0.614, 0.614, 0.067)
Ga (0.500, 0.500, 0.500)

E_form, eV per atom: -0.056
Symmetry: C2/m, No. 12
Total energy, eV per atom: -8.610
Offset from the most stable computed form, meV/atom: 0.0